Ca2AcSm2: optimized geometry, PBE.

Cell: 9.7733 9.7733 4.0552 Å, 90.00 90.00 90.00°
Closest atoms and distances in Å follow each position.
Fractional positions:
Ca 0.1732 0.3268 0.0000  6 Sm 3.47-3.57
Ca 0.3268 0.8268 0.0000  6 Sm 3.47-3.57
Ca 0.6732 0.1732 0.0000  6 Sm 3.47-3.57
Ca 0.8268 0.6732 0.0000  6 Sm 3.47-3.57
Ac 0.0000 0.0000 0.5000  4 Sm 3.87, 2 Ac 4.06, 8 Ca 4.14
Ac 0.5000 0.5000 0.5000  4 Sm 3.87, 2 Ac 4.06, 8 Ca 4.14
Sm 0.1231 0.6231 0.5000  1 Sm 3.40, 6 Ca 3.47-3.57
Sm 0.3769 0.1231 0.5000  1 Sm 3.40, 6 Ca 3.47-3.57
Sm 0.6231 0.8769 0.5000  1 Sm 3.40, 6 Ca 3.47-3.57
Sm 0.8769 0.3769 0.5000  1 Sm 3.40, 6 Ca 3.47-3.57

Computed properties:
Crystal system = tetragonal
VASP energy = -3.36 eV/atom

=====

Li2NdTm: optimized geometry, PBE.

Cell: 3.3353 3.3353 35.6783 Å, 90.00 90.00 120.00°
Closest atoms and distances in Å follow each position.
Fractional positions:
Li 0.0000 0.0000 0.0869  1 Tm 3.10, 6 Li 3.34, 3 Nd 3.44
Li 0.0000 0.0000 0.9131  1 Tm 3.10, 6 Li 3.34, 3 Nd 3.44
Li 0.3333 0.6667 0.5798  1 Tm 3.10, 6 Li 3.34, 3 Nd 3.44
Li 0.3333 0.6667 0.7535  1 Tm 3.10, 6 Li 3.34, 3 Nd 3.44
Li 0.6667 0.3333 0.2465  1 Tm 3.10, 6 Li 3.34, 3 Nd 3.44
Li 0.6667 0.3333 0.4202  1 Tm 3.10, 6 Li 3.34, 3 Nd 3.44
Nd 0.0000 0.0000 0.5000  6 Nd 3.34, 6 Li 3.44
Nd 0.3333 0.6667 0.1667  6 Nd 3.34, 6 Li 3.44
Nd 0.6667 0.3333 0.8333  6 Nd 3.34, 6 Li 3.44
Tm 0.0000 0.0000 0.0000  2 Li 3.10, 6 Tm 3.34
Tm 0.3333 0.6667 0.6667  2 Li 3.10, 6 Tm 3.34
Tm 0.6667 0.3333 0.3333  2 Li 3.10, 6 Tm 3.34

Computed properties:
ΔE to the lowest computed polymorph = 140.6 meV per atom
Crystal system = trigonal
VASP energy = -2.97 eV/atom

=====

GeSb2Au: optimized geometry, PBE.

Cell: 7.1645 7.1645 7.1645 Å, 90.00 90.00 90.00°
Closest atoms and distances in Å follow each position.
Fractional positions:
Ge 0.0000 0.0000 0.0000  8 Sb 3.10
Ge 0.0000 0.5000 0.5000  8 Sb 3.10
Ge 0.5000 0.0000 0.5000  8 Sb 3.10
Ge 0.5000 0.5000 0.0000  8 Sb 3.10
Sb 0.2500 0.2500 0.2500  4 Ge 3.10, 4 Au 3.10
Sb 0.2500 0.2500 0.7500  4 Ge 3.10, 4 Au 3.10
Sb 0.2500 0.7500 0.2500  4 Ge 3.10, 4 Au 3.10
Sb 0.2500 0.7500 0.7500  4 Ge 3.10, 4 Au 3.10
Sb 0.7500 0.2500 0.2500  4 Ge 3.10, 4 Au 3.10
Sb 0.7500 0.2500 0.7500  4 Ge 3.10, 4 Au 3.10
Sb 0.7500 0.7500 0.2500  4 Ge 3.10, 4 Au 3.10
Sb 0.7500 0.7500 0.7500  4 Ge 3.10, 4 Au 3.10
Au 0.0000 0.0000 0.5000  8 Sb 3.10
Au 0.0000 0.5000 0.0000  8 Sb 3.10
Au 0.5000 0.0000 0.0000  8 Sb 3.10
Au 0.5000 0.5000 0.5000  8 Sb 3.10

Computed properties:
ΔE to the lowest computed polymorph = 204.6 meV per atom
Crystal system = cubic
Formation energy from raw total energies = 22.8 kJ/mol of atoms
VASP energy = -3.80 eV/atom